# Th2SiAg GGA-PBE relaxed
# crystal system = trigonal
# raw formation energy = 0.1755 eV/atom
# energy = -67.24 eV for the cell shown
data_Th2SiAg
_cell_length_a 3.8474
_cell_length_b 3.8474
_cell_length_c 29.3315
_cell_angle_alpha 90.00
_cell_angle_beta 90.00
_cell_angle_gamma 120.00
_symmetry_space_group_name_H-M 'R -3 m'
_symmetry_Int_Tables_number 166
_symmetry_space_group_name_Hall '-R 3 2"'
loop_
_atom_site_label
_atom_site_fract_x
_atom_site_fract_y
_atom_site_fract_z
_atom_site_occupancy
Th1 0.0000 0.0000 0.1056 1
Si1 0.0000 0.0000 0.5000 1
Ag1 0.0000 0.0000 0.0000 1


# Sc2Rh GGA-PBE relaxed
# crystal system = hexagonal
# energy = -65.99 eV for the cell shown
# ΔH_f (0 K) = -0.6605 eV per atom
data_Sc2Rh
_cell_length_a 6.9187
_cell_length_b 6.9187
_cell_length_c 4.3297
_cell_angle_alpha 90.00
_cell_angle_beta 90.00
_cell_angle_gamma 120.00
_symmetry_space_group_name_H-M 'P -6 2 m'
_symmetry_Int_Tables_number 189
_symmetry_space_group_name_Hall 'P -6 -2'
loop_
_atom_site_label
_atom_site_fract_x
_atom_site_fract_y
_atom_site_fract_z
_atom_site_occupancy
Sc1 0.0000 0.2600 0.0000 1
Sc2 0.0000 0.5877 0.5000 1
Rh1 0.0000 0.0000 0.5000 1
Rh2 0.3333 0.6667 0.0000 1


# KNa3Cl GGA-PBE relaxed
# E above lowest polymorph = 0.6465 eV per atom
# crystal system = cubic
# raw formation energy = 0.1101 eV/atom
# energy = -6.35 eV for the cell shown
data_KNa3Cl
_cell_length_a 6.663
_cell_length_b 6.663
_cell_length_c 6.663
_cell_angle_alpha 90.00
_cell_angle_beta 90.00
_cell_angle_gamma 90.00
_symmetry_space_group_name_H-M 'P m -3 m'
_symmetry_Int_Tables_number 221
_symmetry_space_group_name_Hall '-P 4 2 3'
loop_
_atom_site_label
_atom_site_fract_x
_atom_site_fract_y
_atom_site_fract_z
_atom_site_occupancy
K1 0.000 0.000 0.000 1
Na1 0.000 0.000 0.500 1
Cl1 0.500 0.500 0.500 1


# TiSO2F GGA-PBE relaxed
# crystal system = tetragonal
# raw formation energy = -0.4037 eV/atom
# energy = -25.83 eV for the cell shown
data_TiSO2F
_cell_length_a 3.583
_cell_length_b 3.583
_cell_length_c 5.046
_cell_angle_alpha 90.00
_cell_angle_beta 90.00
_cell_angle_gamma 90.00
_symmetry_space_group_name_H-M 'P 4/m m m'
_symmetry_Int_Tables_number 123
_symmetry_space_group_name_Hall '-P 4 2'
loop_
_atom_site_label
_atom_site_fract_x
_atom_site_fract_y
_atom_site_fract_z
_atom_site_occupancy
Ti1 0.000 0.000 0.000 1
S1 0.500 0.500 0.500 1
O1 0.000 0.500 0.500 1
F1 0.500 0.500 0.000 1


# Ba2PAu2 GGA-PBE relaxed
# E above lowest polymorph = 0.0000 eV per atom
# crystal system = monoclinic
# energy = -78.92 eV for the cell shown
# ΔH_f (0 K) = -0.7840 eV per atom
data_Ba2PAu2
_cell_length_a 12.156
_cell_length_b 4.426
_cell_length_c 12.895
_cell_angle_alpha 90.00
_cell_angle_beta 117.55
_cell_angle_gamma 90.00
_symmetry_space_group_name_H-M 'C 1 2/m 1'
_symmetry_Int_Tables_number 12
loop_
_symmetry_equiv_pos_as_xyz
'x,y,z'
'-x,-y,-z'
'-x,y,-z'
'x,-y,z'
'x+1/2,y+1/2,z'
'-x+1/2,-y+1/2,-z'
'-x+1/2,y+1/2,-z'
'x+1/2,-y+1/2,z'
loop_
_atom_site_label
_atom_site_fract_x
_atom_site_fract_y
_atom_site_fract_z
_atom_site_occupancy
Ba1 0.068 0.000 0.366 1
Ba2 0.198 0.000 0.121 1
P1 0.229 0.000 0.665 1
Au1 0.029 0.500 0.897 1
Au2 0.128 0.500 0.590 1


# BiRhO3 GGA-PBE relaxed
# crystal system = monoclinic
# raw formation energy = -0.7304 eV/atom
# energy = -119.04 eV for the cell shown
data_BiRhO3
_cell_length_a 14.194
_cell_length_b 3.268
_cell_length_c 6.322
_cell_angle_alpha 90.00
_cell_angle_beta 91.42
_cell_angle_gamma 90.00
_symmetry_space_group_name_H-M 'C 1 2/m 1'
_symmetry_Int_Tables_number 12
loop_
_symmetry_equiv_pos_as_xyz
'x,y,z'
'-x,-y,-z'
'-x,y,-z'
'x,-y,z'
'x+1/2,y+1/2,z'
'-x+1/2,-y+1/2,-z'
'-x+1/2,y+1/2,-z'
'x+1/2,-y+1/2,z'
loop_
_atom_site_label
_atom_site_fract_x
_atom_site_fract_y
_atom_site_fract_z
_atom_site_occupancy
Bi1 0.138 0.000 0.081 1
Rh1 0.073 0.500 0.612 1
O1 0.030 0.000 0.789 1
O2 0.125 0.000 0.467 1
O3 0.190 0.500 0.872 1


# CdGa2CuHg GGA-PBE relaxed
# E above lowest polymorph = 0.0000 eV per atom
# crystal system = tetragonal
# energy = -10.79 eV for the cell shown
# ΔH_f (0 K) = 0.1156 eV per atom
data_CdGa2CuHg
_cell_length_a 4.706
_cell_length_b 4.706
_cell_length_c 5.127
_cell_angle_alpha 90.00
_cell_angle_beta 90.00
_cell_angle_gamma 90.00
_symmetry_space_group_name_H-M 'P 4/m m m'
_symmetry_Int_Tables_number 123
_symmetry_space_group_name_Hall '-P 4 2'
loop_
_atom_site_label
_atom_site_fract_x
_atom_site_fract_y
_atom_site_fract_z
_atom_site_occupancy
Cd1 0.000 0.000 0.000 1
Ga1 0.000 0.500 0.500 1
Cu1 0.000 0.000 0.500 1
Hg1 0.500 0.500 0.000 1


# MgCuTc2 GGA-PBE relaxed
# crystal system = monoclinic
# energy = -25.41 eV for the cell shown
# ΔH_f (0 K) = 0.2522 eV per atom
data_MgCuTc2
_cell_length_a 2.670
_cell_length_b 4.518
_cell_length_c 5.021
_cell_angle_alpha 90.00
_cell_angle_beta 103.20
_cell_angle_gamma 90.00
_symmetry_space_group_name_H-M 'P 1 2/m 1'
_symmetry_Int_Tables_number 10
loop_
_symmetry_equiv_pos_as_xyz
'x,y,z'
'-x,-y,-z'
'-x,y,-z'
'x,-y,z'
loop_
_atom_site_label
_atom_site_fract_x
_atom_site_fract_y
_atom_site_fract_z
_atom_site_occupancy
Mg1 0.000 0.000 0.000 1
Cu1 0.500 0.000 0.500 1
Tc1 0.309 0.500 0.750 1


Question: energy of number 1 (Th2SiAg)?
Answer: -67.24 eV for the cell shown